# KTe2Cl PBE optimized geometry
data_KTe2Cl
_cell_length_a 5.8502
_cell_length_b 5.8502
_cell_length_c 5.6963
_cell_angle_alpha 90.00
_cell_angle_beta 90.00
_cell_angle_gamma 90.00
_space_group_name_H-M_alt 'P 1'
_space_group_IT_number 1
loop_
_space_group_symop_operation_xyz
'x,y,z'
loop_
_atom_site_label
_atom_site_type_symbol
_atom_site_fract_x
_atom_site_fract_y
_atom_site_fract_z
Te1 Te 0.0000 0.0000 0.9835
Cl1 Cl 0.5000 0.5000 0.2500
K1 K 0.5000 0.5000 0.7500
Te2 Te 0.0000 0.0000 0.5165
# ΔE to the lowest computed polymorph: 374 meV per atom
# Energy relative to the elements, uncorrected: -475 meV per atom
# SG: P4/mmm

# LaHfAsCl2 PBE optimized geometry
data_LaHfAsCl2
_cell_length_a 5.0669
_cell_length_b 6.0711
_cell_length_c 5.0669
_cell_angle_alpha 90.00
_cell_angle_beta 90.00
_cell_angle_gamma 90.00
_space_group_name_H-M_alt 'P 1'
_space_group_IT_number 1
loop_
_space_group_symop_operation_xyz
'x,y,z'
loop_
_atom_site_label
_atom_site_type_symbol
_atom_site_fract_x
_atom_site_fract_y
_atom_site_fract_z
As1 As 0.0000 0.0000 0.0000
Cl1 Cl 0.0000 0.0000 0.5000
Hf1 Hf 0.5000 0.5000 0.5000
La1 La 0.0000 0.5000 0.0000
Cl2 Cl 0.5000 0.0000 0.0000
# Energy relative to the elements, uncorrected: 400 meV per atom
# SG: P4/mmm

# MgGa5Pt3 PBE optimized geometry
data_MgGa5Pt3
_cell_length_a 7.1223
_cell_length_b 7.1223
_cell_length_c 9.3361
_cell_angle_alpha 65.31
_cell_angle_beta 65.31
_cell_angle_gamma 74.96
_space_group_name_H-M_alt 'P 1'
_space_group_IT_number 1
loop_
_space_group_symop_operation_xyz
'x,y,z'
loop_
_atom_site_label
_atom_site_type_symbol
_atom_site_fract_x
_atom_site_fract_y
_atom_site_fract_z
Ga1 Ga 0.7672 0.7672 0.0255
Ga2 Ga 0.7150 0.2850 0.0000
Ga3 Ga 0.0564 0.6248 0.6718
Pt1 Pt 0.6453 0.6453 0.3406
Ga4 Ga 0.9436 0.3752 0.3282
Pt2 Pt 0.3547 0.3547 0.6594
Mg1 Mg 0.1138 0.1138 0.6771
Pt3 Pt 0.6713 0.6713 0.8379
Ga5 Ga 0.3752 0.9436 0.3282
Ga6 Ga 0.2328 0.2328 0.9745
Mg2 Mg 0.8862 0.8862 0.3229
Ga7 Ga 0.4167 0.4167 0.3555
Pt4 Pt 0.0000 0.0000 0.5000
Pt5 Pt 0.0000 0.0000 0.0000
Pt6 Pt 0.3287 0.3287 0.1621
Ga8 Ga 0.2850 0.7150 0.0000
Ga9 Ga 0.6248 0.0564 0.6718
Ga10 Ga 0.5833 0.5833 0.6445
# E_form: -0.44 eV per atom
# SG: C2/m

no.,spin magnetization (μB/cell),calculated volume (Å³/cell)
1,0.00,194.96
2,0.84,155.87
3,0.00,388.86